No. 1
The following is a PBE-GGA calculation of a geometry-optimized PtWAu structure, from Alexandria via LeMat-Bulk.

a b c (Å): 6.121 6.121 6.121
angles (deg): 90.00 90.00 90.00
Positions (direct):
Pt (0.000, 0.000, 0.000)
Pt (0.000, 0.500, 0.500)
Pt (0.500, 0.000, 0.500)
Pt (0.500, 0.500, 0.000)
W (0.250, 0.250, 0.250)
W (0.250, 0.750, 0.750)
W (0.750, 0.250, 0.750)
W (0.750, 0.750, 0.250)
Au (0.250, 0.250, 0.750)
Au (0.250, 0.750, 0.250)
Au (0.750, 0.250, 0.250)
Au (0.750, 0.750, 0.750)

Magnetic moment (μB per formula unit): 0.000
Polymorph energy (0 for the lowest one) (meV/atom): 614.4
Symmetry: F-43m
DOS at the Fermi energy (states/eV/cell): 20.22
Formation energy (eV per atom): 0.496
E_tot (eV/atom): -6.928



No. 2
The following is a PBE-GGA calculation of a geometry-optimized PtW3Au structure, from Alexandria via LeMat-Bulk.

a b c (Å): 4.763 4.763 4.763
angles (deg): 90.00 90.00 90.00
Positions (direct):
Pt (0.000, 0.000, 0.000)
W (0.000, 0.000, 0.500)
W (0.000, 0.500, 0.000)
W (0.500, 0.000, 0.000)
Au (0.500, 0.500, 0.500)

Magnetic moment (μB per formula unit): 0.000
Polymorph energy (0 for the lowest one) (meV/atom): 0.0
Symmetry: Pm-3m
DOS at the Fermi energy (states/eV/cell): 4.17
Formation energy (eV per atom): 2.090
E_tot (eV/atom): -7.545



No. 3
The following is a PBE-GGA calculation of a geometry-optimized Pt2WAu structure, from Alexandria via LeMat-Bulk.

a b c (Å): 4.048 4.048 3.969
angles (deg): 90.00 90.00 90.00
Positions (direct):
Pt (0.000, 0.500, 0.000)
Pt (0.500, 0.000, 0.000)
W (0.000, 0.000, 0.500)
Au (0.500, 0.500, 0.500)

Magnetic moment (μB per formula unit): 1.285
Polymorph energy (0 for the lowest one) (meV/atom): 493.7
Symmetry: P4/mmm
DOS at the Fermi energy (states/eV/cell): 6.28
Formation energy (eV per atom): 0.277
E_tot (eV/atom): -6.801



No. 4
The following is a PBE-GGA calculation of a geometry-optimized PtW2Au structure, from Alexandria via LeMat-Bulk.

a b c (Å): 6.414 6.414 6.414
angles (deg): 90.00 90.00 90.00
Positions (direct):
Pt (0.000, 0.000, 0.000)
Pt (0.000, 0.500, 0.500)
Pt (0.500, 0.000, 0.500)
Pt (0.500, 0.500, 0.000)
W (0.000, 0.000, 0.500)
W (0.000, 0.500, 0.000)
W (0.250, 0.250, 0.750)
W (0.250, 0.750, 0.250)
W (0.500, 0.000, 0.000)
W (0.500, 0.500, 0.500)
W (0.750, 0.250, 0.250)
W (0.750, 0.750, 0.750)
Au (0.250, 0.250, 0.250)
Au (0.250, 0.750, 0.750)
Au (0.750, 0.250, 0.750)
Au (0.750, 0.750, 0.250)

Magnetic moment (μB per formula unit): 0.000
Polymorph energy (0 for the lowest one) (meV/atom): 317.3
Symmetry: F-43m
DOS at the Fermi energy (states/eV/cell): 16.23
Formation energy (eV per atom): 0.362
E_tot (eV/atom): -8.444



No. 5
The following is a PBE-GGA calculation of a geometry-optimized Pt2WAu structure, from Alexandria via LeMat-Bulk.

a b c (Å): 2.824 2.824 28.148
angles (deg): 90.00 90.00 120.00
Positions (direct):
Pt (0.000, 0.000, 0.000)
Pt (0.000, 0.000, 0.249)
Pt (0.333, 0.667, 0.667)
Pt (0.333, 0.667, 0.915)
Pt (0.667, 0.333, 0.333)
Pt (0.667, 0.333, 0.582)
W (0.000, 0.000, 0.504)
W (0.333, 0.667, 0.171)
W (0.667, 0.333, 0.838)
Au (0.000, 0.000, 0.753)
Au (0.333, 0.667, 0.420)
Au (0.667, 0.333, 0.086)

Magnetic moment (μB per formula unit): 0.000
Polymorph energy (0 for the lowest one) (meV/atom): 192.2
Symmetry: R3m
DOS at the Fermi energy (states/eV/cell): 3.51
Formation energy (eV per atom): -0.025
E_tot (eV/atom): -7.103



No. 6
The following is a PBE-GGA calculation of a geometry-optimized Pt2WAu structure, from Alexandria via LeMat-Bulk.

a b c (Å): 6.400 6.400 6.400
angles (deg): 90.00 90.00 90.00
Positions (direct):
Pt (0.250, 0.250, 0.250)
Pt (0.250, 0.250, 0.750)
Pt (0.250, 0.750, 0.250)
Pt (0.250, 0.750, 0.750)
Pt (0.750, 0.250, 0.250)
Pt (0.750, 0.250, 0.750)
Pt (0.750, 0.750, 0.250)
Pt (0.750, 0.750, 0.750)
W (0.000, 0.000, 0.000)
W (0.000, 0.500, 0.500)
W (0.500, 0.000, 0.500)
W (0.500, 0.500, 0.000)
Au (0.000, 0.000, 0.500)
Au (0.000, 0.500, 0.000)
Au (0.500, 0.000, 0.000)
Au (0.500, 0.500, 0.500)

Magnetic moment (μB per formula unit): 0.000
Polymorph energy (0 for the lowest one) (meV/atom): 356.9
Symmetry: Fm-3m
DOS at the Fermi energy (states/eV/cell): 13.22
Formation energy (eV per atom): 0.140
E_tot (eV/atom): -6.938



No. 7
The following is a PBE-GGA calculation of a geometry-optimized PtW2Au structure, from Alexandria via LeMat-Bulk.

a b c (Å): 9.551 2.774 4.977
angles (deg): 90.00 99.53 90.00
Positions (direct):
Pt (0.000, 0.000, 0.000)
Pt (0.500, 0.500, 0.000)
W (0.246, 0.500, 0.244)
W (0.254, 0.000, 0.756)
W (0.746, 0.000, 0.244)
W (0.754, 0.500, 0.756)
Au (0.000, 0.500, 0.500)
Au (0.500, 0.000, 0.500)

Magnetic moment (μB per formula unit): 0.000
Polymorph energy (0 for the lowest one) (meV/atom): 172.4
Symmetry: C2/m
DOS at the Fermi energy (states/eV/cell): 7.06
Formation energy (eV per atom): 0.217
E_tot (eV/atom): -8.589



No. 8
The following is a PBE-GGA calculation of a geometry-optimized Pt2WAu structure, from Alexandria via LeMat-Bulk.

a b c (Å): 2.829 2.829 28.183
angles (deg): 90.00 90.00 120.00
Positions (direct):
Pt (0.000, 0.000, 0.245)
Pt (0.000, 0.000, 0.755)
Pt (0.333, 0.667, 0.421)
Pt (0.333, 0.667, 0.912)
Pt (0.667, 0.333, 0.088)
Pt (0.667, 0.333, 0.579)
W (0.000, 0.000, 0.500)
W (0.333, 0.667, 0.167)
W (0.667, 0.333, 0.833)
Au (0.000, 0.000, 0.000)
Au (0.333, 0.667, 0.667)
Au (0.667, 0.333, 0.333)

Magnetic moment (μB per formula unit): 0.000
Polymorph energy (0 for the lowest one) (meV/atom): 109.4
Symmetry: R-3m
DOS at the Fermi energy (states/eV/cell): 8.29
Formation energy (eV per atom): -0.107
E_tot (eV/atom): -7.185



No. 9
The following is a PBE-GGA calculation of a geometry-optimized PtW2Au structure, from Alexandria via LeMat-Bulk.

a b c (Å): 7.309 7.309 5.342
angles (deg): 90.00 90.00 90.00
Positions (direct):
Pt (0.000, 0.000, 0.000)
Pt (0.000, 0.500, 0.250)
Pt (0.500, 0.000, 0.750)
Pt (0.500, 0.500, 0.500)
W (0.232, 0.250, 0.125)
W (0.250, 0.732, 0.375)
W (0.250, 0.768, 0.875)
W (0.268, 0.250, 0.625)
W (0.732, 0.750, 0.625)
W (0.750, 0.232, 0.875)
W (0.750, 0.268, 0.375)
W (0.768, 0.750, 0.125)
Au (0.000, 0.000, 0.500)
Au (0.000, 0.500, 0.750)
Au (0.500, 0.000, 0.250)
Au (0.500, 0.500, 0.000)

Magnetic moment (μB per formula unit): 0.000
Polymorph energy (0 for the lowest one) (meV/atom): 699.0
Symmetry: I-42d
DOS at the Fermi energy (states/eV/cell): 13.63
Formation energy (eV per atom): 0.743
E_tot (eV/atom): -8.063



No. 10
The following is a PBE-GGA calculation of a geometry-optimized PtWAu structure, from Alexandria via LeMat-Bulk.

a b c (Å): 6.166 6.166 6.166
angles (deg): 90.00 90.00 90.00
Positions (direct):
Pt (0.000, 0.000, 0.000)
Pt (0.000, 0.500, 0.500)
Pt (0.500, 0.000, 0.500)
Pt (0.500, 0.500, 0.000)
W (0.250, 0.250, 0.250)
W (0.250, 0.750, 0.750)
W (0.750, 0.250, 0.750)
W (0.750, 0.750, 0.250)
Au (0.000, 0.000, 0.500)
Au (0.000, 0.500, 0.000)
Au (0.500, 0.000, 0.000)
Au (0.500, 0.500, 0.500)

Magnetic moment (μB per formula unit): 0.000
Polymorph energy (0 for the lowest one) (meV/atom): 692.1
Symmetry: F-43m
DOS at the Fermi energy (states/eV/cell): 15.97
Formation energy (eV per atom): 0.574
E_tot (eV/atom): -6.850



No. 11
The following is a PBE-GGA calculation of a geometry-optimized PtW2Au structure, from Alexandria via LeMat-Bulk.

a b c (Å): 2.758 2.758 8.482
angles (deg): 90.00 90.00 90.00
Positions (direct):
Pt (0.000, 0.000, 0.000)
W (0.500, 0.500, 0.244)
W (0.500, 0.500, 0.756)
Au (0.000, 0.000, 0.500)

Magnetic moment (μB per formula unit): 0.000
Polymorph energy (0 for the lowest one) (meV/atom): 102.4
Symmetry: P4/mmm
DOS at the Fermi energy (states/eV/cell): 2.28
Formation energy (eV per atom): 0.147
E_tot (eV/atom): -8.659



No. 12
The following is a PBE-GGA calculation of a geometry-optimized PtW2Au2 structure, from Alexandria via LeMat-Bulk.

a b c (Å): 3.656 3.656 13.698
angles (deg): 90.00 90.00 90.00
Positions (direct):
Pt (0.000, 0.000, 0.000)
Pt (0.500, 0.500, 0.500)
W (0.000, 0.500, 0.250)
W (0.000, 0.500, 0.750)
W (0.500, 0.000, 0.250)
W (0.500, 0.000, 0.750)
Au (0.000, 0.000, 0.402)
Au (0.000, 0.000, 0.598)
Au (0.500, 0.500, 0.098)
Au (0.500, 0.500, 0.902)

Magnetic moment (μB per formula unit): 0.000
Polymorph energy (0 for the lowest one) (meV/atom): 0.0
Symmetry: I4/mmm
DOS at the Fermi energy (states/eV/cell): 9.40
Formation energy (eV per atom): 0.700
E_tot (eV/atom): -7.000



Which value of E_tot does entry 7 give? -8.589 eV/atom